The following is a PBE calculation of a relaxed Li2Zn2Ga2CuPt crystal, from OQMD.

```
Li2Zn2Ga2CuPt
1.0
4.2892 0.0000 0.0000
0.0000 4.2892 0.0000
0.0000 0.0000 6.0284
Li Zn Ga Cu Pt
2 2 2 1 1
Direct
0.0000 0.0000 0.0000
0.5000 0.5000 0.5000
0.0000 0.5000 0.2420
0.5000 0.0000 0.7580
0.0000 0.5000 0.7546
0.5000 0.0000 0.2454
0.5000 0.5000 0.0000
0.0000 0.0000 0.5000
```

SG: P-4m2, No. 115
Energy, eV per atom: -3.185